The following is a PBE calculation of a relaxed ErMgAlHg crystal, from Alexandria.

Lattice parameters (Å, degrees): 7.070 7.070 7.070 90.00 90.00 90.00
Space group F-43m (No. 216)
One atom of each set of equivalent atoms:
Er  0.000  0.000  0.000 x4
Mg  0.000  0.000  0.500 x4
Al  0.250  0.250  0.750 x4
Hg  0.250  0.250  0.250 x4

## Properties
The calculated formation energy is -1.225 eV per formula unit. The mass density is 7.9 g cm⁻³.

The following is a PBE calculation of a relaxed Cd2FeI crystal, from Alexandria.

Lattice parameters (Å, degrees): 7.429 7.429 7.429 90.00 90.00 90.00
Space group Fm-3m (No. 225)
One atom of each set of equivalent atoms:
Cd  0.250  0.250  0.250 x8
Fe  0.000  0.000  0.000 x4
I  0.000  0.000  0.500 x4

## Properties
The mass density is 6.6 g cm⁻³. The excess energy over the best structure of this formula in the dataset comes out at 360 meV per atom.

The following is a PBE calculation of a relaxed Mg12Tl3Au crystal, from Alexandria.

Lattice parameters (Å, degrees): 4.478 4.478 17.727 90.00 90.00 90.00
Space group P4/mmm (No. 123)
One atom of each set of equivalent atoms:
Mg  0.000  0.000  0.000 x1
Mg  0.000  0.000  0.240 x2
Mg  0.000  0.000  0.500 x1
Mg  0.000  0.500  0.111 x4
Mg  0.000  0.500  0.370 x4
Tl  0.500  0.500  0.241 x2
Tl  0.500  0.500  0.500 x1
Au  0.500  0.500  0.000 x1

## Properties
The calculated formation energy is -1.750 eV per formula unit. The mass density is 5.1 g cm⁻³.

The following is a PBE calculation of a relaxed TiI2Cl8 crystal, from Alexandria.

Lattice parameters (Å, degrees): 14.724 6.788 8.207 90.00 91.37 90.00
Space group C2/m (No. 12)
One atom of each set of equivalent atoms:
Ti  0.000  0.000  0.000 x2
I  0.201  0.000  0.319 x4
Cl  0.057  0.000  0.744 x4
Cl  0.110  0.243  0.083 x8
Cl  0.201  0.500  0.447 x4

## Properties
The mass density is 2.4 g cm⁻³. As for the total energy: -3.02 eV per atom.